# TbErNi4, optimized geometry, DFT PBE
data_TbErNi4
_space_group_name_H-M_alt 'F -4 3 m'
_space_group_IT_number 216
_space_group_name_Hall 'F -4 2 3'
_cell_length_a 7.1518
_cell_length_b 7.1518
_cell_length_c 7.1518
_cell_angle_alpha 90.00
_cell_angle_beta 90.00
_cell_angle_gamma 90.00
loop_
_atom_site_label
_atom_site_type_symbol
_atom_site_fract_x
_atom_site_fract_y
_atom_site_fract_z
_atom_site_occupancy
Tb1 Tb 0.0000 0.0000 0.0000 1
Er1 Er 0.2500 0.2500 0.7500 1
Ni1 Ni 0.1247 0.1247 0.3753 1
# D(E_F) ... 13.2 states/eV per cell
# DFT total energy ... -140.238 eV/cell
# Energy relative to the elements ... -456.8 meV per atom

# NdTl2RhO6, optimized geometry, DFT PBE
data_NdTl2RhO6
_space_group_name_H-M_alt 'R 3'
_space_group_IT_number 146
_space_group_name_Hall 'R 3'
_cell_length_a 5.7657
_cell_length_b 5.7657
_cell_length_c 15.1390
_cell_angle_alpha 90.00
_cell_angle_beta 90.00
_cell_angle_gamma 120.00
loop_
_atom_site_label
_atom_site_type_symbol
_atom_site_fract_x
_atom_site_fract_y
_atom_site_fract_z
_atom_site_occupancy
Nd1 Nd 0.0000 0.0000 0.0000 1
Tl1 Tl 0.0000 0.0000 0.2611 1
Tl2 Tl 0.0000 0.0000 0.7818 1
Rh1 Rh 0.0000 0.0000 0.4876 1
O1 O 0.0133 0.3940 0.2270 1
O2 O 0.0662 0.6845 0.0729 1
# D(E_F) ... 13.9 states/eV per cell
# DFT total energy ... -179.056 eV/cell
# Uncorrected formation energy ... -1308 meV per atom

# BaTaHg2, optimized geometry, DFT PBE
data_BaTaHg2
_space_group_name_H-M_alt 'C m m m'
_space_group_IT_number 65
_space_group_name_Hall '-C 2 2'
_cell_length_a 7.1956
_cell_length_b 8.8243
_cell_length_c 3.1775
_cell_angle_alpha 90.00
_cell_angle_beta 90.00
_cell_angle_gamma 90.00
loop_
_atom_site_label
_atom_site_type_symbol
_atom_site_fract_x
_atom_site_fract_y
_atom_site_fract_z
_atom_site_occupancy
Ba1 Ba 0.0000 0.0000 0.0000 1
Ta1 Ta 0.0000 0.5000 0.0000 1
Hg1 Hg 0.2500 0.2500 0.5000 1
# D(E_F) ... 7.1 states/eV per cell
# DFT total energy ... -24.824 eV/cell
# Energy relative to the elements ... 491.8 meV per atom

# CaY4Te6, optimized geometry, DFT PBE
data_CaY4Te6
_space_group_name_H-M_alt 'C m c m'
_space_group_IT_number 63
_space_group_name_Hall '-C 2c 2'
_cell_length_a 4.3388
_cell_length_b 14.3399
_cell_length_c 22.5102
_cell_angle_alpha 90.00
_cell_angle_beta 90.00
_cell_angle_gamma 90.00
loop_
_atom_site_label
_atom_site_type_symbol
_atom_site_fract_x
_atom_site_fract_y
_atom_site_fract_z
_atom_site_occupancy
Ca1 Ca 0.0000 0.1591 0.2500 1
Y1 Y 0.0000 0.0885 0.6280 1
Y2 Y 0.0000 0.3587 0.5376 1
Te1 Te 0.0000 0.0000 0.0000 1
Te2 Te 0.0000 0.1813 0.7500 1
Te3 Te 0.0000 0.2698 0.0893 1
Te4 Te 0.0000 0.4481 0.6631 1
# D(E_F) ... 15.3 states/eV per cell
# DFT total energy ... -249.501 eV/cell
# Uncorrected formation energy ... -1424 meV per atom

# Ca2PmBiO6, optimized geometry, DFT PBE
data_Ca2PmBiO6
_space_group_name_H-M_alt 'R 3'
_space_group_IT_number 146
_space_group_name_Hall 'R 3'
_cell_length_a 5.8798
_cell_length_b 5.8798
_cell_length_c 15.3155
_cell_angle_alpha 90.00
_cell_angle_beta 90.00
_cell_angle_gamma 120.00
loop_
_atom_site_label
_atom_site_type_symbol
_atom_site_fract_x
_atom_site_fract_y
_atom_site_fract_z
_atom_site_occupancy
Ca1 Ca 0.0000 0.0000 0.0000 1
Ca2 Ca 0.0000 0.0000 0.4963 1
Pm1 Pm 0.0000 0.0000 0.2193 1
Bi1 Bi 0.0000 0.0000 0.7101 1
O1 O 0.0514 0.3416 0.7782 1
O2 O 0.0611 0.6843 0.2836 1
# D(E_F) ... 0.0 states/eV per cell
# DFT total energy ... -199.065 eV/cell
# Uncorrected formation energy ... -2397 meV per atom

# MnCdMo4, optimized geometry, DFT PBE
data_MnCdMo4
_space_group_name_H-M_alt 'F -4 3 m'
_space_group_IT_number 216
_space_group_name_Hall 'F -4 2 3'
_cell_length_a 7.4309
_cell_length_b 7.4309
_cell_length_c 7.4309
_cell_angle_alpha 90.00
_cell_angle_beta 90.00
_cell_angle_gamma 90.00
loop_
_atom_site_label
_atom_site_type_symbol
_atom_site_fract_x
_atom_site_fract_y
_atom_site_fract_z
_atom_site_occupancy
Mn1 Mn 0.0000 0.0000 0.0000 1
Cd1 Cd 0.2500 0.2500 0.2500 1
Mo1 Mo 0.1246 0.1246 0.6246 1
# D(E_F) ... 19.1 states/eV per cell
# DFT total energy ... -202.155 eV/cell
# Energy relative to the elements ... 478.4 meV per atom

# Tb2Zr2Sb2C, optimized geometry, DFT PBE
data_Tb2Zr2Sb2C
_space_group_name_H-M_alt 'I 4/m m m'
_space_group_IT_number 139
_space_group_name_Hall '-I 4 2'
_cell_length_a 4.5116
_cell_length_b 4.5116
_cell_length_c 15.8816
_cell_angle_alpha 90.00
_cell_angle_beta 90.00
_cell_angle_gamma 90.00
loop_
_atom_site_label
_atom_site_type_symbol
_atom_site_fract_x
_atom_site_fract_y
_atom_site_fract_z
_atom_site_occupancy
Tb1 Tb 0.0000 0.0000 0.1623 1
Zr1 Zr 0.0000 0.5000 0.0000 1
Sb1 Sb 0.0000 0.0000 0.3621 1
C1 C 0.0000 0.0000 0.0000 1
# D(E_F) ... 8.0 states/eV per cell
# DFT total energy ... -99.388 eV/cell
# Uncorrected formation energy ... -838 meV per atom

# Sc2AlGa2Rh5, optimized geometry, DFT PBE
data_Sc2AlGa2Rh5
_space_group_name_H-M_alt 'P 4/m b m'
_space_group_IT_number 127
_space_group_name_Hall '-P 4 2ab'
_cell_length_a 9.6275
_cell_length_b 9.6275
_cell_length_c 3.4102
_cell_angle_alpha 90.00
_cell_angle_beta 90.00
_cell_angle_gamma 90.00
loop_
_atom_site_label
_atom_site_type_symbol
_atom_site_fract_x
_atom_site_fract_y
_atom_site_fract_z
_atom_site_occupancy
Sc1 Sc 0.1707 0.3293 0.0000 1
Al1 Al 0.0000 0.0000 0.0000 1
Ga1 Ga 0.1291 0.6291 0.0000 1
Rh1 Rh 0.0000 0.5000 0.5000 1
Rh2 Rh 0.0672 0.8018 0.5000 1
# D(E_F) ... 9.7 states/eV per cell
# DFT total energy ... -134.805 eV/cell
# Energy relative to the elements ... -818.6 meV per atom

# Ca5PtO6, optimized geometry, DFT PBE
data_Ca5PtO6
_space_group_name_H-M_alt 'C 1 2/m 1'
_space_group_IT_number 12
_cell_length_a 5.8021
_cell_length_b 10.3377
_cell_length_c 5.7688
_cell_angle_alpha 90.00
_cell_angle_beta 106.27
_cell_angle_gamma 90.00
loop_
_space_group_symop_operation_xyz
'x,y,z'
'-x,-y,-z'
'-x,y,-z'
'x,-y,z'
'x+1/2,y+1/2,z'
'-x+1/2,-y+1/2,-z'
'-x+1/2,y+1/2,-z'
'x+1/2,-y+1/2,z'
loop_
_atom_site_label
_atom_site_type_symbol
_atom_site_fract_x
_atom_site_fract_y
_atom_site_fract_z
_atom_site_occupancy
Ca1 Ca 0.0000 0.0000 0.0000 1
Ca2 Ca 0.0000 0.1716 0.5000 1
Ca3 Ca 0.0000 0.3374 0.0000 1
Pt1 Pt 0.0000 0.5000 0.5000 1
O1 O 0.2304 0.1731 0.2326 1
O2 O 0.2356 0.5000 0.2714 1
# D(E_F) ... 9.5 states/eV per cell
# DFT total energy ... -148.709 eV/cell
# Uncorrected formation energy ... -2380 meV per atom

# ScTaAs, optimized geometry, DFT PBE
data_ScTaAs
_space_group_name_H-M_alt 'I 4 m m'
_space_group_IT_number 107
_space_group_name_Hall 'I 4 -2'
_cell_length_a 3.3952
_cell_length_b 3.3952
_cell_length_c 9.7806
_cell_angle_alpha 90.00
_cell_angle_beta 90.00
_cell_angle_gamma 90.00
loop_
_atom_site_label
_atom_site_type_symbol
_atom_site_fract_x
_atom_site_fract_y
_atom_site_fract_z
_atom_site_occupancy
Sc1 Sc 0.0000 0.0000 0.0000 1
Ta1 Ta 0.0000 0.0000 0.3071 1
As1 As 0.0000 0.0000 0.6843 1
# D(E_F) ... 4.9 states/eV per cell
# DFT total energy ... -48.344 eV/cell
# Energy relative to the elements ... -446.2 meV per atom

# SrCaNd2, optimized geometry, DFT PBE
data_SrCaNd2
_space_group_name_H-M_alt 'R -3 m'
_space_group_IT_number 166
_space_group_name_Hall '-R 3 2"'
_cell_length_a 3.7970
_cell_length_b 3.7970
_cell_length_c 38.2545
_cell_angle_alpha 90.00
_cell_angle_beta 90.00
_cell_angle_gamma 120.00
loop_
_atom_site_label
_atom_site_type_symbol
_atom_site_fract_x
_atom_site_fract_y
_atom_site_fract_z
_atom_site_occupancy
Sr1 Sr 0.0000 0.0000 0.0000 1
Ca1 Ca 0.0000 0.0000 0.5000 1
Nd1 Nd 0.0000 0.0000 0.2474 1
# D(E_F) ... 22.2 states/eV per cell
# DFT total energy ... -38.006 eV/cell
# Excess energy over the best structure of this formula in the dataset ... 0.00 eV per formula unit
# Energy relative to the elements ... 137.6 meV per atom

# Er2ThTlC, optimized geometry, DFT PBE
data_Er2ThTlC
_space_group_name_H-M_alt 'P 4/m m m'
_space_group_IT_number 123
_space_group_name_Hall '-P 4 2'
_cell_length_a 4.9101
_cell_length_b 4.9101
_cell_length_c 5.0533
_cell_angle_alpha 90.00
_cell_angle_beta 90.00
_cell_angle_gamma 90.00
loop_
_atom_site_label
_atom_site_type_symbol
_atom_site_fract_x
_atom_site_fract_y
_atom_site_fract_z
_atom_site_occupancy
Er1 Er 0.0000 0.5000 0.0000 1
Th1 Th 0.0000 0.0000 0.5000 1
Tl1 Tl 0.5000 0.5000 0.5000 1
C1 C 0.0000 0.0000 0.0000 1
# D(E_F) ... 2.4 states/eV per cell
# DFT total energy ... -30.046 eV/cell
# Energy relative to the elements ... -382.1 meV per atom